(1)
Compound: Na2Zr12B2I5Cl23
Source: the Alexandria database
Functional: GGA-PBE
Structure: optimized geometry

Values from the calculation:
As for the total moment: 0.000 μB/f.u.

CIF file:
```
data_Na2Zr12B2I5Cl23
_chemical_formula_sum 'Na4 Zr24 B4 I10 Cl46'
_cell_length_a 13.468
_cell_length_b 13.658
_cell_length_c 13.479
_cell_angle_alpha 90.00
_cell_angle_beta 90.01
_cell_angle_gamma 90.00
_space_group_name_H-M_alt 'P 1 c 1'
_space_group_IT_number 7
_space_group_name_Hall 'P -2yc'
loop_
_atom_site_label
_atom_site_type_symbol
_atom_site_fract_x
_atom_site_fract_y
_atom_site_fract_z
_atom_site_occupancy
Na1 Na 0.000 0.030 0.000 1
Na2 Na 0.938 0.465 0.499 1
Zr1 Zr 0.075 0.188 0.260 1
Zr2 Zr 0.163 0.302 0.064 1
Zr3 Zr 0.181 0.402 0.282 1
Zr4 Zr 0.277 0.101 0.153 1
Zr5 Zr 0.292 0.208 0.369 1
Zr6 Zr 0.379 0.318 0.171 1
Zr7 Zr 0.567 0.188 0.671 1
Zr8 Zr 0.655 0.297 0.870 1
Zr9 Zr 0.672 0.402 0.654 1
Zr10 Zr 0.764 0.101 0.782 1
Zr11 Zr 0.782 0.206 0.565 1
Zr12 Zr 0.872 0.314 0.762 1
B1 B 0.228 0.252 0.216 1
B2 B 0.718 0.252 0.717 1
I1 I 0.085 0.390 0.855 1
I2 I 0.209 0.130 0.948 1
I3 I 0.356 0.115 0.586 1
I4 I 0.592 0.385 0.086 1
I5 I 0.860 0.113 0.352 1
Cl1 Cl 0.005 0.347 0.335 1
Cl2 Cl 0.102 0.470 0.122 1
Cl3 Cl 0.109 0.015 0.192 1
Cl4 Cl 0.127 0.133 0.433 1
Cl5 Cl 0.243 0.366 0.457 1
Cl6 Cl 0.322 0.378 0.001 1
Cl7 Cl 0.341 0.489 0.240 1
Cl8 Cl 0.352 0.041 0.313 1
Cl9 Cl 0.446 0.159 0.096 1
Cl10 Cl 0.464 0.276 0.335 1
Cl11 Cl 0.482 0.231 0.835 1
Cl12 Cl 0.503 0.347 0.595 1
Cl13 Cl 0.602 0.467 0.815 1
Cl14 Cl 0.603 0.015 0.737 1
Cl15 Cl 0.624 0.132 0.499 1
Cl16 Cl 0.702 0.136 0.956 1
Cl17 Cl 0.744 0.369 0.477 1
Cl18 Cl 0.820 0.370 0.935 1
Cl19 Cl 0.840 0.487 0.694 1
Cl20 Cl 0.842 0.035 0.620 1
Cl21 Cl 0.940 0.154 0.835 1
Cl22 Cl 0.960 0.273 0.598 1
Cl23 Cl 0.986 0.230 0.097 1
```

***

(2)
Compound: Nd4BI2Cl
Source: the Alexandria database
Functional: GGA-PBE
Structure: optimized geometry

Values from the calculation:
As for the total moment: 0.000 μB/f.u.

CIF file:
```
data_Nd4BI2Cl
_chemical_formula_sum 'Nd4 B1 I2 Cl1'
_cell_length_a 7.264
_cell_length_b 4.096
_cell_length_c 8.038
_cell_angle_alpha 90.00
_cell_angle_beta 107.05
_cell_angle_gamma 90.00
_space_group_name_H-M_alt 'P 1 2/m 1'
_space_group_IT_number 10
_space_group_name_Hall '-P 2y'
loop_
_atom_site_label
_atom_site_type_symbol
_atom_site_fract_x
_atom_site_fract_y
_atom_site_fract_z
_atom_site_occupancy
Nd1 Nd 0.201 0.000 0.184 1
Nd2 Nd 0.234 0.500 0.810 1
B1 B 0.000 0.500 0.000 1
I1 I 0.000 0.000 0.500 1
I2 I 0.500 0.500 0.500 1
Cl1 Cl 0.500 0.000 0.000 1
```

***

(3)
Compound: BP2ICl
Source: the Alexandria database
Functional: GGA-PBE
Structure: optimized geometry

Values from the calculation:
For the energy above the lowest structure with this stoichiometry, the calculation gives 5.80 eV/f.u. As for the total moment: 1.025 μB/f.u.

CIF file:
```
data_BP2ICl
_chemical_formula_sum 'B1 P2 I1 Cl1'
_cell_length_a 5.246
_cell_length_b 5.246
_cell_length_c 5.424
_cell_angle_alpha 90.00
_cell_angle_beta 90.00
_cell_angle_gamma 90.00
_space_group_name_H-M_alt 'P 4/m m m'
_space_group_IT_number 123
_space_group_name_Hall '-P 4 2'
loop_
_atom_site_label
_atom_site_type_symbol
_atom_site_fract_x
_atom_site_fract_y
_atom_site_fract_z
_atom_site_occupancy
B1 B 0.000 0.000 0.000 1
P1 P 0.000 0.500 0.500 1
I1 I 0.500 0.500 0.500 1
Cl1 Cl 0.500 0.500 0.000 1
```

***

Results for formation energy (no corrections): -72.0; -7.3; 10.2 (in eV/f.u., following the order of the records).
Results for ρ: 3.50; 6.37; 2.62 (in g cm⁻³, following the order of the records).